Entry 1:
Below is a geometry-optimized KReSn3 structure, with properties calculated at the PBE-GGA level.

Calculated values
electronic total energy: -14.42 eV for the cell shown
space group: Pm-3m, No. 221
M_tot: 4.2 Bohr magnetons per cell
ΔE_f: 2.228 eV/atom

Geometry as CIF:
```
data_KReSn3
_chemical_formula_sum 'K1 Re1 Sn3'
_cell_length_a 5.6810
_cell_length_b 5.6810
_cell_length_c 5.6810
_cell_angle_alpha 90.00
_cell_angle_beta 90.00
_cell_angle_gamma 90.00
_space_group_name_H-M_alt 'P 1'
_space_group_IT_number 1
_space_group_name_Hall 'P 1'
loop_
_atom_site_label
_atom_site_type_symbol
_atom_site_fract_x
_atom_site_fract_y
_atom_site_fract_z
K1 K 0.0000 0.0000 0.0000
Sn1 Sn 0.5000 0.0000 0.0000
Sn2 Sn 0.0000 0.5000 0.0000
Sn3 Sn 0.0000 0.0000 0.5000
Re1 Re 0.5000 0.5000 0.5000
```

Entry 2:
Below is a geometry-optimized KReSn2 structure, with properties calculated at the PBE-GGA level.

Calculated values
electronic total energy: -38.90 eV for the cell shown
space group: I-42d, No. 122
M_tot: 0.0 Bohr magnetons per cell
ΔE_f: 0.525 eV/atom

Geometry as CIF:
```
data_KReSn2
_chemical_formula_sum 'K2 Re2 Sn4'
_cell_length_a 6.6122
_cell_length_b 6.6122
_cell_length_c 9.0194
_cell_angle_alpha 68.50
_cell_angle_beta 68.50
_cell_angle_gamma 90.00
_space_group_name_H-M_alt 'P 1'
_space_group_IT_number 1
_space_group_name_Hall 'P 1'
loop_
_atom_site_label
_atom_site_type_symbol
_atom_site_fract_x
_atom_site_fract_y
_atom_site_fract_z
Sn1 Sn 0.8742 0.6250 0.2500
Sn2 Sn 0.8750 0.1258 0.7500
Sn3 Sn 0.3750 0.1242 0.7500
Sn4 Sn 0.8758 0.1250 0.2500
K1 K 0.2500 0.7500 0.5000
K2 K 0.5000 0.5000 0.0000
Re1 Re 0.0000 0.0000 0.0000
Re2 Re 0.7500 0.2500 0.5000
```

Entry 3:
Below is a geometry-optimized KZn2ReSn structure, with properties calculated at the PBE-GGA level.

Calculated values
electronic total energy: -14.56 eV for the cell shown
space group: P4/mmm, No. 123
M_tot: 2.6 Bohr magnetons per cell
ΔE_f: 1.108 eV/atom

Geometry as CIF:
```
data_KZn2ReSn
_chemical_formula_sum 'K1 Zn2 Re1 Sn1'
_cell_length_a 5.3449
_cell_length_b 5.2651
_cell_length_c 5.3449
_cell_angle_alpha 90.00
_cell_angle_beta 90.00
_cell_angle_gamma 90.00
_space_group_name_H-M_alt 'P 1'
_space_group_IT_number 1
_space_group_name_Hall 'P 1'
loop_
_atom_site_label
_atom_site_type_symbol
_atom_site_fract_x
_atom_site_fract_y
_atom_site_fract_z
Sn1 Sn 0.0000 0.0000 0.0000
Zn1 Zn 0.0000 0.0000 0.5000
Zn2 Zn 0.5000 0.0000 0.0000
K1 K 0.5000 0.5000 0.5000
Re1 Re 0.0000 0.5000 0.0000
```

Entry 4:
Below is a geometry-optimized KSrRe2 structure, with properties calculated at the PBE-GGA level.

Calculated values
electronic total energy: -23.56 eV for the cell shown
space group: C2/m, No. 12
M_tot: 0.0 Bohr magnetons per cell
ΔE_f: 1.029 eV/atom

Geometry as CIF:
```
data_KSrRe2
_chemical_formula_sum 'K1 Sr1 Re2'
_cell_length_a 7.7308
_cell_length_b 7.7308
_cell_length_c 8.2503
_cell_angle_alpha 45.06
_cell_angle_beta 45.06
_cell_angle_gamma 27.41
_space_group_name_H-M_alt 'P 1'
_space_group_IT_number 1
_space_group_name_Hall 'P 1'
loop_
_atom_site_label
_atom_site_type_symbol
_atom_site_fract_x
_atom_site_fract_y
_atom_site_fract_z
Sr1 Sr 0.7500 0.7500 0.7500
Re1 Re 0.9832 0.9832 0.1877
Re2 Re 0.5168 0.5168 0.3123
K1 K 0.2500 0.2500 0.2500
```

Entry 5:
Below is a geometry-optimized KSrRe2 structure, with properties calculated at the PBE-GGA level.

Calculated values
electronic total energy: -22.22 eV for the cell shown
space group: Immm, No. 71
M_tot: 0.0 Bohr magnetons per cell
ΔE_f: 1.364 eV/atom

Geometry as CIF:
```
data_KSrRe2
_chemical_formula_sum 'K1 Sr1 Re2'
_cell_length_a 6.2057
_cell_length_b 6.2057
_cell_length_c 6.2057
_cell_angle_alpha 146.69
_cell_angle_beta 140.83
_cell_angle_gamma 52.33
_space_group_name_H-M_alt 'P 1'
_space_group_IT_number 1
_space_group_name_Hall 'P 1'
loop_
_atom_site_label
_atom_site_type_symbol
_atom_site_fract_x
_atom_site_fract_y
_atom_site_fract_z
Re1 Re 0.9992 0.9992 0.0000
Re2 Re 0.5008 0.5008 0.0000
K1 K 0.2500 0.7500 0.5000
Sr1 Sr 0.7500 0.2500 0.5000
```

Entry 6:
Below is a geometry-optimized KSrRe2 structure, with properties calculated at the PBE-GGA level.

Calculated values
electronic total energy: -22.23 eV for the cell shown
space group: Pmmm, No. 47
M_tot: 0.0 Bohr magnetons per cell
ΔE_f: 1.362 eV/atom

Geometry as CIF:
```
data_KSrRe2
_chemical_formula_sum 'K1 Sr1 Re2'
_cell_length_a 3.4834
_cell_length_b 4.2179
_cell_length_c 5.5938
_cell_angle_alpha 90.00
_cell_angle_beta 90.00
_cell_angle_gamma 90.00
_space_group_name_H-M_alt 'P 1'
_space_group_IT_number 1
_space_group_name_Hall 'P 1'
loop_
_atom_site_label
_atom_site_type_symbol
_atom_site_fract_x
_atom_site_fract_y
_atom_site_fract_z
K1 K 0.0000 0.5000 0.5000
Sr1 Sr 0.5000 0.0000 0.5000
Re1 Re 0.0000 0.0000 0.0000
Re2 Re 0.5000 0.5000 0.0000
```

Entry 7:
Below is a geometry-optimized KSrRe2 structure, with properties calculated at the PBE-GGA level.

Calculated values
electronic total energy: -22.10 eV for the cell shown
space group: C2/m, No. 12
M_tot: 0.0 Bohr magnetons per cell
ΔE_f: 1.394 eV/atom

Geometry as CIF:
```
data_KSrRe2
_chemical_formula_sum 'K1 Sr1 Re2'
_cell_length_a 6.0394
_cell_length_b 6.1973
_cell_length_c 2.7322
_cell_angle_alpha 89.52
_cell_angle_beta 64.19
_cell_angle_gamma 113.03
_space_group_name_H-M_alt 'P 1'
_space_group_IT_number 1
_space_group_name_Hall 'P 1'
loop_
_atom_site_label
_atom_site_type_symbol
_atom_site_fract_x
_atom_site_fract_y
_atom_site_fract_z
Re1 Re 0.0000 0.0000 0.0000
Re2 Re 0.5000 0.0000 0.5000
Sr1 Sr 0.0000 0.5000 0.5000
K1 K 0.5000 0.5000 0.0000
```

Entry 8:
Below is a geometry-optimized K2SrRe structure, with properties calculated at the PBE-GGA level.

Calculated values
electronic total energy: -11.87 eV for the cell shown
space group: Immm, No. 71
M_tot: 0.0 Bohr magnetons per cell
ΔE_f: 1.114 eV/atom

Geometry as CIF:
```
data_K2SrRe
_chemical_formula_sum 'K2 Sr1 Re1'
_cell_length_a 10.4287
_cell_length_b 10.4287
_cell_length_c 5.4038
_cell_angle_alpha 74.99
_cell_angle_beta 74.99
_cell_angle_gamma 17.10
_space_group_name_H-M_alt 'P 1'
_space_group_IT_number 1
_space_group_name_Hall 'P 1'
loop_
_atom_site_label
_atom_site_type_symbol
_atom_site_fract_x
_atom_site_fract_y
_atom_site_fract_z
Re1 Re 0.7500 0.7500 0.7500
K1 K 0.0953 0.0953 0.9047
K2 K 0.4047 0.4047 0.5953
Sr1 Sr 0.2500 0.2500 0.2500
```

Entry 9:
Below is a geometry-optimized K2SrRe structure, with properties calculated at the PBE-GGA level.

Calculated values
electronic total energy: -10.28 eV for the cell shown
space group: R-3m, No. 166
M_tot: 1.6 Bohr magnetons per cell
ΔE_f: 1.511 eV/atom

Geometry as CIF:
```
data_K2SrRe
_chemical_formula_sum 'K2 Sr1 Re1'
_cell_length_a 13.5533
_cell_length_b 13.5533
_cell_length_c 13.5533
_cell_angle_alpha 13.98
_cell_angle_beta 13.98
_cell_angle_gamma 13.98
_space_group_name_H-M_alt 'P 1'
_space_group_IT_number 1
_space_group_name_Hall 'P 1'
loop_
_atom_site_label
_atom_site_type_symbol
_atom_site_fract_x
_atom_site_fract_y
_atom_site_fract_z
K1 K 0.9856 0.9856 0.9856
K2 K 0.5144 0.5144 0.5144
Sr1 Sr 0.7500 0.7500 0.7500
Re1 Re 0.2500 0.2500 0.2500
```

Entry 10:
Below is a geometry-optimized K2SrRe structure, with properties calculated at the PBE-GGA level.

Calculated values
electronic total energy: -10.54 eV for the cell shown
space group: P4/mmm, No. 123
M_tot: 0.5 Bohr magnetons per cell
ΔE_f: 1.445 eV/atom

Geometry as CIF:
```
data_K2SrRe
_chemical_formula_sum 'K2 Sr1 Re1'
_cell_length_a 3.1227
_cell_length_b 3.1227
_cell_length_c 13.3425
_cell_angle_alpha 90.00
_cell_angle_beta 90.00
_cell_angle_gamma 90.00
_space_group_name_H-M_alt 'P 1'
_space_group_IT_number 1
_space_group_name_Hall 'P 1'
loop_
_atom_site_label
_atom_site_type_symbol
_atom_site_fract_x
_atom_site_fract_y
_atom_site_fract_z
K1 K 0.0000 0.0000 0.0501
K2 K 0.0000 0.0000 0.4499
Sr1 Sr 0.5000 0.5000 0.7500
Re1 Re 0.5000 0.5000 0.2500
```

Entry 11:
Below is a geometry-optimized KSrRe2 structure, with properties calculated at the PBE-GGA level.

Calculated values
electronic total energy: -22.13 eV for the cell shown
space group: P4/mmm, No. 123
M_tot: 0.0 Bohr magnetons per cell
ΔE_f: 1.387 eV/atom

Geometry as CIF:
```
data_KSrRe2
_chemical_formula_sum 'K1 Sr1 Re2'
_cell_length_a 2.7463
_cell_length_b 2.7463
_cell_length_c 11.2342
_cell_angle_alpha 90.00
_cell_angle_beta 90.00
_cell_angle_gamma 90.00
_space_group_name_H-M_alt 'P 1'
_space_group_IT_number 1
_space_group_name_Hall 'P 1'
loop_
_atom_site_label
_atom_site_type_symbol
_atom_site_fract_x
_atom_site_fract_y
_atom_site_fract_z
Re1 Re 0.0000 0.0000 0.0125
Re2 Re 0.0000 0.0000 0.4875
Sr1 Sr 0.5000 0.5000 0.2500
K1 K 0.5000 0.5000 0.7500
```

Entry 12:
Below is a geometry-optimized K2SrRe structure, with properties calculated at the PBE-GGA level.

Calculated values
electronic total energy: -10.99 eV for the cell shown
space group: Imm2, No. 44
M_tot: 2.9 Bohr magnetons per cell
ΔE_f: 1.334 eV/atom

Geometry as CIF:
```
data_K2SrRe
_chemical_formula_sum 'K2 Sr1 Re1'
_cell_length_a 5.9064
_cell_length_b 5.9064
_cell_length_c 5.9064
_cell_angle_alpha 120.28
_cell_angle_beta 119.75
_cell_angle_gamma 89.98
_space_group_name_H-M_alt 'P 1'
_space_group_IT_number 1
_space_group_name_Hall 'P 1'
loop_
_atom_site_label
_atom_site_type_symbol
_atom_site_fract_x
_atom_site_fract_y
_atom_site_fract_z
Re1 Re 0.4985 0.4985 0.0000
Sr1 Sr 0.2518 0.7518 0.5000
K1 K 0.0004 0.0004 0.0000
K2 K 0.7493 0.2493 0.5000
```